No. 1
Entry from the Alexandria database: a relaxed structure of Ca2LaAl (PBE).

Computed properties:
The calculation puts the electronic total energy at -37.363 eV/cell.

a b c (Å): 3.6677 3.6677 34.4233
angles (deg): 90.00 90.00 120.00
Space group R-3m (No. 166, hexagonal axes)
Inequivalent atoms, fractional coordinates:
Ca 0.0000 0.0000 0.2374 x6
La 0.0000 0.0000 0.0000 x3
Al 0.0000 0.0000 0.5000 x3

---

No. 2
Entry from the Alexandria database: a relaxed structure of ZnCl2 (PBE).

Computed properties:
The calculation puts the electronic total energy at -26.577 eV/cell. As for the energy relative to the elements, uncorrected: -0.559 eV per atom.

a b c (Å): 3.1914 3.1914 28.1854
angles (deg): 90.00 90.00 90.00
Space group I4_1/amd (No. 141, origin choice 2)
Inequivalent atoms, fractional coordinates:
Zn 0.0000 0.2500 0.3750 x4
Cl 0.0000 0.2500 0.8213 x8

---

No. 3
Entry from the Alexandria database: a relaxed structure of PrPuCl6 (PBE).

Computed properties:
The calculation puts the electronic total energy at -139.741 eV/cell. As for the energy relative to the elements, uncorrected: -2.049 eV per atom.

a b c (Å): 6.8598 6.8598 19.4185
angles (deg): 90.00 90.00 120.00
Space group R-3 (No. 148, hexagonal axes)
Inequivalent atoms, fractional coordinates:
Pr 0.0000 0.0000 0.0000 x3
Pu 0.0000 0.0000 0.5000 x3
Cl 0.0067 0.6539 0.2503 x18

---

No. 4
Entry from the Alexandria database: a relaxed structure of Zn2TcTe (PBE).

Computed properties:
The calculation puts the electronic total energy at -43.321 eV/cell. As for the energy relative to the elements, uncorrected: 0.404 eV per atom.

a b c (Å): 3.0033 3.0033 29.5643
angles (deg): 90.00 90.00 120.00
Space group R-3m (No. 166, hexagonal axes)
Inequivalent atoms, fractional coordinates:
Zn 0.0000 0.0000 0.2345 x6
Tc 0.0000 0.0000 0.5000 x3
Te 0.0000 0.0000 0.0000 x3

---

No. 5
Entry from the Alexandria database: a relaxed structure of CoSeCl (PBE).

Computed properties:
The calculation puts the electronic total energy at -40.222 eV/cell. As for the energy relative to the elements, uncorrected: 0.794 eV per atom.

a b c (Å): 6.3597 6.3597 6.3597
angles (deg): 90.00 90.00 90.00
Space group F-43m (No. 216)
Inequivalent atoms, fractional coordinates:
Co 0.0000 0.0000 0.0000 x4
Se 0.2500 0.2500 0.2500 x4
Cl 0.0000 0.0000 0.5000 x4

---

No. 6
Entry from the Alexandria database: a relaxed structure of KTlSnSb (PBE).

Computed properties:
The calculation puts the electronic total energy at -36.093 eV/cell. Its excess energy over the best structure of this formula in the dataset is 0 meV/atom. As for the energy relative to the elements, uncorrected: -0.111 eV per atom.

a b c (Å): 4.2994 4.2994 29.3807
angles (deg): 90.00 90.00 120.00
Space group R3m (No. 160, hexagonal axes)
Inequivalent atoms, fractional coordinates:
K 0.0000 0.0000 0.0000 x3
Tl 0.0000 0.0000 0.4274 x3
Sn 0.0000 0.0000 0.5303 x3
Sb 0.0000 0.0000 0.2469 x3

---

No. 7
Entry from the Alexandria database: a relaxed structure of Dy3N2O (PBE).

Computed properties:
The calculation puts the electronic total energy at -96.979 eV/cell. As for the energy relative to the elements, uncorrected: -2.179 eV per atom.

a b c (Å): 3.4467 4.8798 10.3413
angles (deg): 90.00 90.00 90.00
Space group Immm (No. 71)
Inequivalent atoms, fractional coordinates:
Dy 0.0000 0.0000 0.0000 x2
Dy 0.0000 0.0000 0.3282 x4
N 0.0000 0.5000 0.3328 x4
O 0.0000 0.5000 0.0000 x2

---

No. 8
Entry from the Alexandria database: a relaxed structure of NaBAu2 (PBE).

Computed properties:
The calculation puts the electronic total energy at -55.303 eV/cell.

a b c (Å): 7.2308 7.2308 6.0322
angles (deg): 90.00 90.00 90.00
Space group I-42d (No. 122)
Inequivalent atoms, fractional coordinates:
Na 0.0000 0.0000 0.0000 x4
B 0.0000 0.0000 0.5000 x4
Au 0.1149 0.7500 0.6250 x8

---

No. 9
Entry from the Alexandria database: a relaxed structure of ScReW (PBE).

Computed properties:
The calculation puts the electronic total energy at -31.723 eV/cell. Its excess energy over the best structure of this formula in the dataset is 194 meV/atom.

a b c (Å): 4.5170 4.5170 2.8453
angles (deg): 90.00 90.00 120.00
Space group P3m1 (No. 156)
Inequivalent atoms, fractional coordinates:
Sc 0.0000 0.0000 0.0000 x1
Re 0.3333 0.6667 0.6380 x1
W 0.6667 0.3333 0.3773 x1

---

No. 10
Entry from the Alexandria database: a relaxed structure of NaCuW (PBE).

Computed properties:
The calculation puts the electronic total energy at -67.570 eV/cell. Its excess energy over the best structure of this formula in the dataset is 0 meV/atom.

a b c (Å): 7.7624 2.5565 10.0432
angles (deg): 90.00 90.00 90.00
Space group Pnma (No. 62)
Inequivalent atoms, fractional coordinates:
Na 0.1562 0.2500 0.0801 x4
Cu 0.1580 0.2500 0.7928 x4
W 0.0536 0.2500 0.3838 x4

---

No. 11
Entry from the Alexandria database: a relaxed structure of Tb2TlC (PBE).

Computed properties:
The calculation puts the electronic total energy at -66.816 eV/cell.

a b c (Å): 3.6360 3.6360 24.5336
angles (deg): 90.00 90.00 120.00
Space group R-3m (No. 166, hexagonal axes)
Inequivalent atoms, fractional coordinates:
Tb 0.0000 0.0000 0.2222 x6
Tl 0.0000 0.0000 0.0000 x3
C 0.0000 0.0000 0.5000 x3

---

No. 12
Entry from the Alexandria database: a relaxed structure of CaAg2I4 (PBE).

Computed properties:
The calculation puts the electronic total energy at -19.556 eV/cell. Its excess energy over the best structure of this formula in the dataset is 0 meV/atom. As for the energy relative to the elements, uncorrected: -0.807 eV per atom.

a b c (Å): 4.6947 7.8400 7.9917
angles (deg): 102.43 90.03 107.35
Space group P-1 (No. 2)
Inequivalent atoms, fractional coordinates:
Ca 0.0000 0.0000 0.0000 x1
Ag 0.3393 0.6782 0.4166 x2
I 0.1301 0.2606 0.3761 x2
I 0.3792 0.7572 0.0916 x2

---

No. 13
Entry from the Alexandria database: a relaxed structure of RbTiOsS2 (PBE).

Computed properties:
The calculation puts the electronic total energy at -27.234 eV/cell. As for the energy relative to the elements, uncorrected: 0.223 eV per atom.

a b c (Å): 4.9170 4.9170 4.8654
angles (deg): 90.00 90.00 90.00
Space group P4/mmm (No. 123)
Inequivalent atoms, fractional coordinates:
Rb 0.0000 0.0000 0.0000 x1
Ti 0.5000 0.5000 0.5000 x1
Os 0.5000 0.5000 0.0000 x1
S 0.0000 0.5000 0.5000 x2

---

No. 14
Entry from the Alexandria database: a relaxed structure of RbPrSnSe3 (PBE).

Computed properties:
The calculation puts the electronic total energy at -55.770 eV/cell. As for the energy relative to the elements, uncorrected: -1.280 eV per atom.

a b c (Å): 8.9655 4.3098 11.8294
angles (deg): 90.00 107.39 90.00
Space group P2_1/m (No. 11)
Inequivalent atoms, fractional coordinates:
Rb 0.2315 0.2500 0.2651 x2
Pr 0.3553 0.7500 0.8504 x2
Sn 0.1415 0.2500 0.5648 x2
Se 0.1048 0.2500 0.7817 x2
Se 0.3480 0.7500 0.5913 x2
Se 0.4055 0.7500 0.1086 x2

---

No. 15
Entry from the Alexandria database: a relaxed structure of MgNpTlBr6 (PBE).

Computed properties:
The calculation puts the electronic total energy at -76.633 eV/cell. As for the energy relative to the elements, uncorrected: -1.264 eV per atom.

a b c (Å): 7.3180 7.3180 14.4124
angles (deg): 90.00 90.00 120.00
Space group P-31c (No. 163)
Inequivalent atoms, fractional coordinates:
Mg 0.3333 0.6667 0.2500 x2
Np 0.3333 0.6667 0.7500 x2
Tl 0.0000 0.0000 0.0000 x2
Br 0.0196 0.3801 0.1401 x12

---

No. 16
Entry from the Alexandria database: a relaxed structure of La2ZnGe (PBE).

Computed properties:
The calculation puts the electronic total energy at -36.168 eV/cell.

a b c (Å): 6.1716 4.2401 8.8540
angles (deg): 90.00 109.34 90.00
Space group P2_1/m (No. 11)
Inequivalent atoms, fractional coordinates:
La 0.2073 0.2500 0.4199 x2
La 0.2859 0.7500 0.0619 x2
Zn 0.1631 0.2500 0.7785 x2
Ge 0.3651 0.7500 0.7064 x2

---

No. 17
Entry from the Alexandria database: a relaxed structure of LaPmCd (PBE).

Computed properties:
The calculation puts the electronic total energy at -44.813 eV/cell. Its excess energy over the best structure of this formula in the dataset is 0 meV/atom.

a b c (Å): 5.4160 12.9108 5.4063
angles (deg): 90.00 90.00 90.00
Space group Cmcm (No. 63)
Inequivalent atoms, fractional coordinates:
La 0.0000 0.0891 0.2500 x4
Pm 0.0000 0.3975 0.2500 x4
Cd 0.0000 0.2481 0.7500 x4

---

No. 18
Entry from the Alexandria database: a relaxed structure of Pr3Cu8Ag (PBE).

Computed properties:
The calculation puts the electronic total energy at -153.445 eV/cell.

a b c (Å): 5.2624 5.2624 26.1285
angles (deg): 90.00 90.00 120.00
Space group R3m (No. 160, hexagonal axes)
Inequivalent atoms, fractional coordinates:
Pr 0.0000 0.0000 0.0000 x3
Pr 0.0000 0.0000 0.1269 x3
Pr 0.0000 0.0000 0.5146 x3
Cu 0.0000 0.0000 0.3178 x3
Cu 0.0000 0.0000 0.8199 x3
Cu 0.1679 0.3357 0.4005 x9
Cu 0.1713 0.3426 0.9041 x9
Ag 0.0000 0.0000 0.6346 x3

---

No. 19
Entry from the Alexandria database: a relaxed structure of YAlZn2Ni2 (PBE).

Computed properties:
The calculation puts the electronic total energy at -24.926 eV/cell.

a b c (Å): 4.3397 4.3397 5.5882
angles (deg): 90.00 90.00 90.00
Space group P4/mmm (No. 123)
Inequivalent atoms, fractional coordinates:
Y 0.0000 0.0000 0.0000 x1
Al 0.0000 0.0000 0.5000 x1
Zn 0.5000 0.5000 0.2434 x2
Ni 0.0000 0.5000 0.5000 x2

---

No. 20
Entry from the Alexandria database: a relaxed structure of AsWCl (PBE).

Computed properties:
The calculation puts the electronic total energy at -19.498 eV/cell. Its excess energy over the best structure of this formula in the dataset is 0 meV/atom. As for the energy relative to the elements, uncorrected: -0.016 eV per atom.

a b c (Å): 3.1378 3.1378 7.3979
angles (deg): 90.00 90.00 120.00
Space group P3m1 (No. 156)
Inequivalent atoms, fractional coordinates:
As 0.0000 0.0000 0.0000 x1
W 0.3333 0.6667 0.7472 x1
Cl 0.6667 0.3333 0.5105 x1

---

Ordered V results: 133.7, 71.8, 263.8, 77.0, 64.3, 156.8, 87.0, 78.8, 50.3, 49.8, 93.6, 273.5, 117.6, 218.1, 334.2, 109.3, 94.5, 208.9, 105.2, 63.1; unit Å³/f.u..